Here is crystalline KTe2Br at its relaxed geometry from Alexandria. Energies are from PBE. Values from VASP.

```
&SYSTEM
  ibrav = 0, nat = 4, ntyp = 3
/
ATOMIC_SPECIES
Br 79.90 Br.upf
K 39.10 K.upf
Te 127.60 Te.upf
CELL_PARAMETERS angstrom
6.108 0.000 0.000
0.000 6.108 0.000
0.000 0.000 3.367
ATOMIC_POSITIONS crystal
Br 0.500 0.000 0.500
K 0.000 0.500 0.500
Te 0.000 0.000 0.000
Te 0.500 0.500 0.000
```

E_form (uncorrected): -120 meV per atom
magnetization: 0.259 Bohr magnetons per cell
E: -2.38 eV/atom

---

Here is crystalline KTe2Br at its relaxed geometry from Alexandria. Energies are from PBE. Values from VASP.

```
&SYSTEM
  ibrav = 0, nat = 4, ntyp = 3
/
ATOMIC_SPECIES
Br 79.90 Br.upf
K 39.10 K.upf
Te 127.60 Te.upf
CELL_PARAMETERS angstrom
9.120 0.113 0.000
6.968 5.886 0.000
-8.044 -2.999 3.081
ATOMIC_POSITIONS crystal
Br 0.250 0.750 0.500
K 0.750 0.250 0.500
Te 0.000 0.000 0.000
Te 0.500 0.500 0.000
```

E_form (uncorrected): -692 meV per atom
magnetization: 0.000 Bohr magnetons per cell
E: -2.96 eV/atom

---

Here is crystalline KTiTe2Br at its relaxed geometry from Alexandria. Energies are from PBE. Values from VASP.

```
&SYSTEM
  ibrav = 0, nat = 5, ntyp = 4
/
ATOMIC_SPECIES
K 39.10 K.upf
Te 127.60 Te.upf
Br 79.90 Br.upf
Ti 47.87 Ti.upf
CELL_PARAMETERS angstrom
5.423 0.000 0.000
0.000 5.406 0.000
0.000 0.000 5.423
ATOMIC_POSITIONS crystal
K 0.500 0.500 0.500
Te 0.000 0.000 0.500
Te 0.500 0.000 0.000
Br 0.000 0.500 0.000
Ti 0.000 0.000 0.000
```

E_form (uncorrected): -819 meV per atom
magnetization: 0.001 Bohr magnetons per cell
E: -4.21 eV/atom

---

Here is crystalline KTl2TeBr6 at its relaxed geometry from Alexandria. Energies are from PBE. Values from VASP.

```
&SYSTEM
  ibrav = 0, nat = 10, ntyp = 4
/
ATOMIC_SPECIES
K 39.10 K.upf
Tl 204.38 Tl.upf
Te 127.60 Te.upf
Br 79.90 Br.upf
CELL_PARAMETERS angstrom
8.583 -0.409 0.321
3.950 6.696 0.155
4.454 2.086 7.242
ATOMIC_POSITIONS crystal
K 0.822 0.811 0.556
Tl 0.517 0.525 0.413
Tl 0.989 0.052 0.937
Te 0.322 0.327 0.029
Br 0.602 0.171 0.277
Br 0.218 0.970 0.219
Br 0.993 0.525 0.259
Br 0.419 0.681 0.808
Br 0.659 0.145 0.778
Br 0.121 0.453 0.739
```

E_form (uncorrected): -770 meV per atom
magnetization: 1.034 Bohr magnetons per cell
E: -2.67 eV/atom

---

Here is crystalline KTlTeBr2 at its relaxed geometry from Alexandria. Energies are from PBE. Values from VASP.

```
&SYSTEM
  ibrav = 0, nat = 5, ntyp = 4
/
ATOMIC_SPECIES
Tl 204.38 Tl.upf
Te 127.60 Te.upf
K 39.10 K.upf
Br 79.90 Br.upf
CELL_PARAMETERS angstrom
-4.941 -2.209 2.841
1.485 -5.866 -1.978
3.304 -0.872 5.069
ATOMIC_POSITIONS crystal
Tl 0.500 0.500 0.500
Te 0.000 0.500 0.000
K 0.000 0.000 0.000
Br 0.000 0.000 0.500
Br 0.500 0.000 0.000
```

E_form (uncorrected): -299 meV per atom
magnetization: 2.000 Bohr magnetons per cell
E: -2.29 eV/atom

---

Here is crystalline K2TlTeBr6 at its relaxed geometry from Alexandria. Energies are from PBE. Values from VASP.

```
&SYSTEM
  ibrav = 0, nat = 10, ntyp = 4
/
ATOMIC_SPECIES
K 39.10 K.upf
Tl 204.38 Tl.upf
Te 127.60 Te.upf
Br 79.90 Br.upf
CELL_PARAMETERS angstrom
-6.728 -0.990 -4.981
0.491 -4.489 -6.310
-4.528 -7.550 -0.211
ATOMIC_POSITIONS crystal
K 0.524 0.523 0.417
K 0.003 0.047 0.936
Tl 0.826 0.813 0.541
Te 0.328 0.324 0.025
Br 0.583 0.146 0.290
Br 0.219 0.972 0.227
Br 0.987 0.552 0.246
Br 0.429 0.678 0.790
Br 0.671 0.120 0.784
Br 0.091 0.486 0.759
```

E_form (uncorrected): -952 meV per atom
magnetization: 0.000 Bohr magnetons per cell
E: -2.73 eV/atom